No. 1
First-principles (PBE) data for a relaxed structure of Al4Mo5, as listed in Alexandria.

Results
The formation energy from the elements comes out at -0.08 eV per atom. The total energy is -139.669 eV per cell. Its density of states at the Fermi level is 8.18 states/eV/f.u. As for the total magnetization: 0.00 μB per formula unit. The value obtained for the energy relative to the lowest polymorph listed for this composition is 0.000 eV per atom.

a b c (Å): 9.2097 9.2097 3.3223
angles (deg): 90.00 90.00 90.00
Closest atoms and distances in Å follow each position.
Space group I4/mmm (No. 139)
Unique sites:
1 Al 0.0000 0.3228 0.0000 x8  5 Mo 2.68-2.97, 4 Al 2.84
2 Mo 0.0000 0.0000 0.0000 x2  8 Mo 2.78, 4 Al 2.97
3 Mo 0.1710 0.1710 0.5000 x8  4 Mo 2.64-2.78, 4 Al 2.68


No. 2
First-principles (PBE) data for a relaxed structure of AlMo, as listed in Alexandria.

Results
The formation energy from the elements comes out at -0.14 eV per atom. The total energy is -118.802 eV per cell. Its density of states at the Fermi level is 1.52 states/eV/f.u. As for the total magnetization: 0.00 μB per formula unit.

a b c (Å): 4.9979 5.3021 9.3613
angles (deg): 90.00 90.00 90.00
Closest atoms and distances in Å follow each position.
Space group P2_12_12_1 (No. 19)
Unique sites:
1 Al 0.0345 0.0699 0.2839 x4  6 Mo 2.64-2.74, 4 Al 2.75-2.90
2 Al 0.2183 0.3748 0.9744 x4  7 Mo 2.65-2.84, 4 Al 2.79-2.90
3 Mo 0.0393 0.6290 0.7300 x4  6 Al 2.65-2.80, 3 Mo 2.70-2.71
4 Mo 0.2181 0.8730 0.0375 x4  7 Al 2.64-2.84, 3 Mo 2.70-2.90


No. 3
First-principles (PBE) data for a relaxed structure of Al3Mo, as listed in Alexandria.

Results
The formation energy from the elements comes out at -0.12 eV per atom. The total energy is -45.067 eV per cell. Its density of states at the Fermi level is 2.34 states/eV/f.u. As for the total magnetization: 0.00 μB per formula unit.

a b c (Å): 5.4460 8.1429 2.7957
angles (deg): 90.00 90.00 90.00
Closest atoms and distances in Å follow each position.
Space group Cmmm (No. 65)
Unique sites:
1 Al 0.0000 0.0000 0.0000 x2  2 Mo 2.72, 10 Al 2.80-2.82
2 Al 0.2500 0.2500 0.5000 x4  8 Al 2.72-2.82, 4 Mo 2.82
3 Mo 0.0000 0.5000 0.0000 x2  10 Al 2.72-2.82, 2 Mo 2.80


No. 4
First-principles (PBE) data for a relaxed structure of Al2Mo3, as listed in Alexandria.

Results
The formation energy from the elements comes out at 0.09 eV per atom. The total energy is -316.090 eV per cell. Its density of states at the Fermi level is 2.44 states/eV/f.u. As for the total magnetization: 0.00 μB per formula unit. The value obtained for the energy relative to the lowest polymorph listed for this composition is 0.102 eV per atom.

a b c (Å): 9.7170 8.0124 9.2681
angles (deg): 90.00 116.73 90.00
Closest atoms and distances in Å follow each position.
Space group P2_1/c (No. 14)
Unique sites:
1 Al 0.0303 0.0391 0.3034 x4  4 Mo 2.58-2.65, 1 Al 2.67
2 Al 0.1461 0.5634 0.5749 x4  3 Al 2.55-2.79, 5 Mo 2.69-2.82
3 Al 0.2363 0.1155 0.8735 x4  2 Al 2.67-2.79, 6 Mo 2.68-2.83
4 Al 0.4163 0.6413 0.7870 x4  7 Mo 2.48-2.71, 1 Al 2.55
5 Mo 0.0871 0.2177 0.5629 x4  2 Mo 2.59-2.72, 5 Al 2.63-2.89
6 Mo 0.1807 0.7423 0.8469 x4  3 Mo 2.52-2.78, 5 Al 2.58-2.79
7 Mo 0.2391 0.5793 0.1336 x4  4 Mo 2.62-2.78, 2 Al 2.73-2.79
8 Mo 0.3350 0.0666 0.4429 x4  4 Al 2.55-2.70, 3 Mo 2.62-2.82
9 Mo 0.3694 0.1764 0.1915 x4  4 Al 2.48-2.73, 2 Mo 2.59-2.65
10 Mo 0.4470 0.6475 0.5228 x4  3 Mo 2.52-2.82, 3 Al 2.60-2.79


No. 5
First-principles (PBE) data for a relaxed structure of AlMo, as listed in Alexandria.

Results
The formation energy from the elements comes out at -0.24 eV per atom. The total energy is -30.107 eV per cell. Its density of states at the Fermi level is 0.97 states/eV/f.u. As for the total magnetization: 0.00 μB per formula unit.

a b c (Å): 3.2408 3.2408 5.8866
angles (deg): 90.00 90.00 90.00
Closest atoms and distances in Å follow each position.
Space group P4/nmm (No. 129, origin choice 2)
Unique sites:
1 Al 0.2500 0.2500 0.1264 x2  4 Al 2.73, 6 Mo 2.74-3.00
2 Mo 0.2500 0.2500 0.6169 x2  4 Mo 2.67, 5 Al 2.74-2.89


No. 6
First-principles (PBE) data for a relaxed structure of Al3Mo, as listed in Alexandria.

Results
The formation energy from the elements comes out at -0.06 eV per atom. The total energy is -22.300 eV per cell. Its density of states at the Fermi level is 2.15 states/eV/f.u. As for the total magnetization: 0.00 μB per formula unit.

a b c (Å): 2.7643 2.7643 8.2969
angles (deg): 90.00 90.00 90.00
Closest atoms and distances in Å follow each position.
Space group P4/mmm (No. 123)
Unique sites:
1 Al 0.0000 0.0000 0.0000 x1  12 Al 2.76-2.89
2 Al 0.5000 0.5000 0.2565 x2  8 Al 2.76-2.89, 4 Mo 2.81
3 Mo 0.0000 0.0000 0.5000 x1  4 Mo 2.76, 8 Al 2.81


No. 7
First-principles (PBE) data for a relaxed structure of AlMo, as listed in Alexandria.

Results
The formation energy from the elements comes out at 0.04 eV per atom. The total energy is -28.968 eV per cell. Its density of states at the Fermi level is 1.43 states/eV/f.u. As for the total magnetization: 0.00 μB per formula unit.

a b c (Å): 2.8801 2.8801 8.8415
angles (deg): 90.00 90.00 120.00
Closest atoms and distances in Å follow each position.
Space group P-3m1 (No. 164)
Unique sites:
1 Al 0.3333 0.6667 0.1292 x2  3 Mo 2.74, 9 Al 2.83-2.88
2 Mo 0.3333 0.6667 0.6247 x2  3 Al 2.74, 9 Mo 2.76-2.88


No. 8
First-principles (PBE) data for a relaxed structure of AlMo2, as listed in Alexandria.

Results
The formation energy from the elements comes out at -0.04 eV per atom. The total energy is -51.042 eV per cell. Its density of states at the Fermi level is 1.81 states/eV/f.u. As for the total magnetization: 0.00 μB per formula unit. The value obtained for the energy relative to the lowest polymorph listed for this composition is 0.134 eV per atom.

a b c (Å): 2.6890 4.3016 8.1106
angles (deg): 90.00 90.00 90.00
Closest atoms and distances in Å follow each position.
Space group Immm (No. 71)
Unique sites:
1 Al 0.0000 0.0000 0.0000 x2  2 Al 2.69, 10 Mo 2.74-2.86
2 Mo 0.0000 0.0000 0.3375 x4  7 Mo 2.64-2.91, 5 Al 2.74-2.86


No. 9
First-principles (PBE) data for a relaxed structure of Al3Mo2, as listed in Alexandria.

Results
The formation energy from the elements comes out at -0.13 eV per atom. The total energy is -268.462 eV per cell. Its density of states at the Fermi level is 3.51 states/eV/f.u. As for the total magnetization: 0.00 μB per formula unit. The value obtained for the energy relative to the lowest polymorph listed for this composition is 0.000 eV per atom.

a b c (Å): 9.0348 12.7302 5.2822
angles (deg): 90.00 90.00 90.00
Closest atoms and distances in Å follow each position.
Space group Fdd2 (No. 43)
Unique sites:
1 Al 0.0000 0.0000 0.0000 x8  4 Mo 2.57-2.60, 4 Al 2.62-2.69
2 Al 0.0625 0.3900 0.0788 x16  4 Al 2.62-2.69, 6 Mo 2.68-2.93
3 Mo 0.0601 0.3064 0.5952 x16  7 Al 2.57-2.77


No. 10
First-principles (PBE) data for a relaxed structure of AlMo5, as listed in Alexandria.

Results
The formation energy from the elements comes out at -0.09 eV per atom. The total energy is -116.923 eV per cell. Its density of states at the Fermi level is 3.75 states/eV/f.u. As for the total magnetization: 0.00 μB per formula unit. The value obtained for the energy relative to the lowest polymorph listed for this composition is 0.000 eV per atom.

a b c (Å): 9.9064 3.1587 6.3427
angles (deg): 90.00 108.74 90.00
Closest atoms and distances in Å follow each position.
Space group C2/m (No. 12)
Unique sites:
1 Al 0.0000 0.0000 0.0000 x2  10 Mo 2.75-3.06
2 Mo 0.0000 0.0000 0.5000 x2  8 Mo 2.72-2.75
3 Mo 0.1675 0.5000 0.3385 x4  6 Mo 2.69-2.72, 2 Al 2.75
4 Mo 0.1738 0.5000 0.8331 x4  6 Mo 2.68-2.75, 2 Al 2.78


No. 11
First-principles (PBE) data for a relaxed structure of Al3Mo4, as listed in Alexandria.

Results
The formation energy from the elements comes out at -0.22 eV per atom. The total energy is -112.136 eV per cell. Its density of states at the Fermi level is 5.33 states/eV/f.u. As for the total magnetization: 0.00 μB per formula unit.

a b c (Å): 3.2547 3.2547 20.4919
angles (deg): 90.00 90.00 90.00
Closest atoms and distances in Å follow each position.
Space group I4/mmm (No. 139)
Unique sites:
1 Al 0.0000 0.0000 0.0000 x2  10 Mo 2.74-2.87
2 Al 0.0000 0.0000 0.2864 x4  4 Al 2.74, 6 Mo 2.75-3.00
3 Mo 0.0000 0.0000 0.1399 x4  4 Mo 2.68, 5 Al 2.75-2.87
4 Mo 0.0000 0.0000 0.4271 x4  5 Mo 2.68-2.99, 5 Al 2.74-2.88


No. 12
First-principles (PBE) data for a relaxed structure of AlMo, as listed in Alexandria.

Results
The formation energy from the elements comes out at -0.02 eV per atom. The total energy is -43.851 eV per cell. Its density of states at the Fermi level is 1.58 states/eV/f.u. As for the total magnetization: 0.00 μB per formula unit.

a b c (Å): 2.8322 2.8322 13.5195
angles (deg): 90.00 90.00 120.00
Closest atoms and distances in Å follow each position.
Space group R-3m (No. 166, hexagonal axes)
Unique sites:
1 Al 0.0000 0.0000 0.0000 x3  6 Mo 2.78, 6 Al 2.83
2 Mo 0.0000 0.0000 0.5000 x3  6 Al 2.78, 6 Mo 2.83